P | # CaBrO2 | the Alexandria database | PBE | relaxed
# - M_tot (μB per formula unit) = 0.0
data_CaBrO2
_chemical_formula_sum 'Ca1 Br1 O2'
_space_group_name_H-M_alt 'P 4/m m m'
_space_group_IT_number 123
_space_group_name_Hall '-P 4 2'
_cell_length_a 4.1814
_cell_length_b 4.1814
_cell_length_c 3.1551
_cell_angle_alpha 90.00
_cell_angle_beta 90.00
_cell_angle_gamma 90.00
loop_
_atom_site_label
_atom_site_type_symbol
_atom_site_fract_x
_atom_site_fract_y
_atom_site_fract_z
Ca1 Ca 0.0000 0.0000 0.0000
Br1 Br 0.5000 0.5000 0.0000
O1 O 0.0000 0.5000 0.5000

Q | # CaBrO2 | the Alexandria database | PBE | relaxed
# - M_tot (μB per formula unit) = 0.0
data_CaBrO2
_chemical_formula_sum 'Ca4 Br4 O8'
_space_group_name_H-M_alt 'C 1 2/m 1'
_space_group_IT_number 12
_space_group_name_Hall '-C 2y'
_cell_length_a 12.9887
_cell_length_b 5.8275
_cell_length_c 4.3494
_cell_angle_alpha 90.00
_cell_angle_beta 90.70
_cell_angle_gamma 90.00
loop_
_atom_site_label
_atom_site_type_symbol
_atom_site_fract_x
_atom_site_fract_y
_atom_site_fract_z
Ca1 Ca 0.1351 0.0000 0.2582
Br1 Br 0.1985 0.5000 0.2398
O1 O 0.0408 0.1170 0.7287

Relative to the most stable one, in meV per atom, the structures come out at P 730; Q 0.

P | # KYSn | the Alexandria database | PBE | relaxed
# - M_tot (μB per formula unit) = 0.0
data_KYSn
_chemical_formula_sum 'K2 Y2 Sn2'
_space_group_name_H-M_alt 'P 1 m 1'
_space_group_IT_number 6
_space_group_name_Hall 'P -2y'
_cell_length_a 4.7033
_cell_length_b 3.8043
_cell_length_c 13.8919
_cell_angle_alpha 90.00
_cell_angle_beta 99.21
_cell_angle_gamma 90.00
loop_
_atom_site_label
_atom_site_type_symbol
_atom_site_fract_x
_atom_site_fract_y
_atom_site_fract_z
K1 K 0.0000 0.0000 0.0000
K2 K 0.3666 0.5000 0.7128
Y1 Y 0.2416 0.5000 0.4513
Y2 Y 0.6614 0.0000 0.2816
Sn1 Sn 0.1332 0.5000 0.2213
Sn2 Sn 0.7747 0.0000 0.5212

Q | # KYSn | the Alexandria database | PBE | relaxed
# - M_tot (μB per formula unit) = 0.0
data_KYSn
_chemical_formula_sum 'K2 Y2 Sn2'
_space_group_name_H-M_alt 'P 4/n m m'
_space_group_IT_number 129
_cell_length_a 5.5015
_cell_length_b 5.5015
_cell_length_c 7.9736
_cell_angle_alpha 90.00
_cell_angle_beta 90.00
_cell_angle_gamma 90.00
loop_
_space_group_symop_operation_xyz
'x,y,z'
'-x,-y,-z'
'-y+1/2,x,z'
'y+1/2,-x,-z'
'-x+1/2,-y+1/2,z'
'x+1/2,y+1/2,-z'
'y,-x+1/2,z'
'-y,x+1/2,-z'
'x+1/2,-y,-z'
'-x+1/2,y,z'
'-y,-x,-z'
'y,x,z'
'-x,y+1/2,-z'
'x,-y+1/2,z'
'y+1/2,x+1/2,-z'
'-y+1/2,-x+1/2,z'
loop_
_atom_site_label
_atom_site_type_symbol
_atom_site_fract_x
_atom_site_fract_y
_atom_site_fract_z
K1 K 0.2500 0.7500 0.0000
Y1 Y 0.2500 0.7500 0.5000
Sn1 Sn 0.2500 0.2500 0.3150

Relative to the most stable one, in meV per atom, the structures come out at P 0; Q 24.

P | # UAl2Ag | the Alexandria database | PBE | relaxed
# - M_tot (μB per formula unit) = 1.3
data_UAl2Ag
_chemical_formula_sum 'U1 Al2 Ag1'
_space_group_name_H-M_alt 'P 4/m m m'
_space_group_IT_number 123
_space_group_name_Hall '-P 4 2'
_cell_length_a 5.2528
_cell_length_b 5.2528
_cell_length_c 2.7862
_cell_angle_alpha 90.00
_cell_angle_beta 90.00
_cell_angle_gamma 90.00
loop_
_atom_site_label
_atom_site_type_symbol
_atom_site_fract_x
_atom_site_fract_y
_atom_site_fract_z
U1 U 0.0000 0.0000 0.0000
Al1 Al 0.0000 0.5000 0.5000
Ag1 Ag 0.5000 0.5000 0.0000

Q | # UAl2Ag | the Alexandria database | PBE | relaxed
# - M_tot (μB per formula unit) = 0.8
data_UAl2Ag
_chemical_formula_sum 'U1 Al2 Ag1'
_space_group_name_H-M_alt 'P 4/m m m'
_space_group_IT_number 123
_space_group_name_Hall '-P 4 2'
_cell_length_a 2.8285
_cell_length_b 2.8285
_cell_length_c 8.8512
_cell_angle_alpha 90.00
_cell_angle_beta 90.00
_cell_angle_gamma 90.00
loop_
_atom_site_label
_atom_site_type_symbol
_atom_site_fract_x
_atom_site_fract_y
_atom_site_fract_z
U1 U 0.0000 0.0000 0.0000
Al1 Al 0.5000 0.5000 0.2654
Ag1 Ag 0.0000 0.0000 0.5000

Relative to the most stable one, in meV per atom, the structures come out at P 174; Q 0.

P | # CrRu2Au | the Alexandria database | PBE | relaxed
# - M_tot (μB per formula unit) = 1.1
data_CrRu2Au
_chemical_formula_sum 'Cr1 Ru2 Au1'
_space_group_name_H-M_alt 'P 1 2/m 1'
_space_group_IT_number 10
_space_group_name_Hall '-P 2y'
_cell_length_a 2.7889
_cell_length_b 3.9561
_cell_length_c 5.4115
_cell_angle_alpha 90.00
_cell_angle_beta 99.21
_cell_angle_gamma 90.00
loop_
_atom_site_label
_atom_site_type_symbol
_atom_site_fract_x
_atom_site_fract_y
_atom_site_fract_z
Cr1 Cr 0.0000 0.0000 0.0000
Ru1 Ru 0.3817 0.5000 0.2246
Au1 Au 0.0000 0.0000 0.5000

Q | # CrRu2Au | the Alexandria database | PBE | relaxed
# - M_tot (μB per formula unit) = 1.0
data_CrRu2Au
_chemical_formula_sum 'Cr1 Ru2 Au1'
_space_group_name_H-M_alt 'P 4/m m m'
_space_group_IT_number 123
_space_group_name_Hall '-P 4 2'
_cell_length_a 3.8733
_cell_length_b 3.8733
_cell_length_c 3.8731
_cell_angle_alpha 90.00
_cell_angle_beta 90.00
_cell_angle_gamma 90.00
loop_
_atom_site_label
_atom_site_type_symbol
_atom_site_fract_x
_atom_site_fract_y
_atom_site_fract_z
Cr1 Cr 0.0000 0.0000 0.0000
Ru1 Ru 0.0000 0.5000 0.5000
Au1 Au 0.5000 0.5000 0.0000

Relative to the most stable one, in meV per atom, the structures come out at P 73; Q 0.

P | # BC3 | the Alexandria database | PBE | relaxed
# - M_tot (μB per formula unit) = 0.0
data_BC3
_chemical_formula_sum 'B3 C9'
_space_group_name_H-M_alt 'P 1'
_space_group_IT_number 1
_space_group_name_Hall 'P 1'
_cell_length_a 3.6418
_cell_length_b 3.7356
_cell_length_c 5.7441
_cell_angle_alpha 89.98
_cell_angle_beta 73.00
_cell_angle_gamma 89.67
loop_
_atom_site_label
_atom_site_type_symbol
_atom_site_fract_x
_atom_site_fract_y
_atom_site_fract_z
B1 B 0.0000 0.0000 0.0000
B2 B 0.2074 0.6764 0.2158
B3 B 0.5117 0.7078 0.5166
C1 C 0.0118 0.2117 0.5218
C2 C 0.1762 0.4589 0.6902
C3 C 0.3420 0.9899 0.3498
C4 C 0.3638 0.2195 0.8485
C5 C 0.5265 0.4642 0.0109
C6 C 0.6730 0.2204 0.1956
C7 C 0.6889 0.9728 0.6911
C8 C 0.8460 0.4509 0.3575
C9 C 0.8505 0.7000 0.8500

Q | # BC3 | the Alexandria database | PBE | relaxed
# - M_tot (μB per formula unit) = 0.0
data_BC3
_chemical_formula_sum 'B3 C9'
_space_group_name_H-M_alt 'P 1'
_space_group_IT_number 1
_space_group_name_Hall 'P 1'
_cell_length_a 4.3970
_cell_length_b 4.5270
_cell_length_c 4.5292
_cell_angle_alpha 60.64
_cell_angle_beta 78.75
_cell_angle_gamma 71.95
loop_
_atom_site_label
_atom_site_type_symbol
_atom_site_fract_x
_atom_site_fract_y
_atom_site_fract_z
B1 B 0.0000 0.0000 0.0000
B2 B 0.1425 0.3742 0.5772
B3 B 0.5359 0.8735 0.2825
C1 C 0.0140 0.3804 0.2636
C2 C 0.0175 0.7301 0.6130
C3 C 0.1478 0.0069 0.2909
C4 C 0.1518 0.6563 0.9491
C5 C 0.5213 0.5522 0.9372
C6 C 0.5237 0.2107 0.6112
C7 C 0.6469 0.4978 0.2704
C8 C 0.6516 0.8429 0.6219
C9 C 0.6534 0.2118 0.9018

Relative to the most stable one, in meV per atom, the structures come out at P 0; Q 7.